The following is a DFT calculation (PBE-GGA) of a relaxed PrLu2Tl crystal.

The formation energy is -0.10 eV per atom. Its energy above the lowest structure with this stoichiometry is 6.2 kJ per mole of atoms. As for the density of states at the Fermi level: 0.887 states/eV/atom. As for the space group: R-3m, No. 166.

```
data_PrLu2Tl
_cell_length_a 11.171
_cell_length_b 11.171
_cell_length_c 11.171
_cell_angle_alpha 18.26
_cell_angle_beta 18.26
_cell_angle_gamma 18.26
_space_group_name_H-M_alt 'P 1'
_space_group_IT_number 1
_space_group_name_Hall 'P 1'
loop_
_atom_site_label
_atom_site_type_symbol
_atom_site_fract_x
_atom_site_fract_y
_atom_site_fract_z
_atom_site_occupancy
Pr1 Pr 0.000 0.000 0.000 1
Lu1 Lu 0.245 0.245 0.245 1
Lu2 Lu 0.755 0.755 0.755 1
Tl1 Tl 0.500 0.500 0.500 1
```